Entry 1:
# InHgBi2Pd (PBE, relaxed)
# DFT formation energy   0.7992 eV/atom
data_InHgBi2Pd
_symmetry_space_group_name_H-M 'P 4/m m m'
_symmetry_Int_Tables_number 123
_symmetry_space_group_name_Hall '-P 4 2'
_cell_length_a 5.701
_cell_length_b 5.701
_cell_length_c 5.352
_cell_angle_alpha 90.00
_cell_angle_beta 90.00
_cell_angle_gamma 90.00
loop_
_atom_site_label
_atom_site_fract_x
_atom_site_fract_y
_atom_site_fract_z
In1 0.000 0.000 0.000
Hg1 0.000 0.000 0.500
Bi1 0.000 0.500 0.500
Pd1 0.500 0.500 0.000


Entry 2:
# Al2ZnCd (PBE, relaxed)
# DFT formation energy   0.1098 eV/atom
data_Al2ZnCd
_symmetry_space_group_name_H-M 'P 4/m m m'
_symmetry_Int_Tables_number 123
_symmetry_space_group_name_Hall '-P 4 2'
_cell_length_a 2.954
_cell_length_b 2.954
_cell_length_c 8.268
_cell_angle_alpha 90.00
_cell_angle_beta 90.00
_cell_angle_gamma 90.00
loop_
_atom_site_label
_atom_site_fract_x
_atom_site_fract_y
_atom_site_fract_z
Al1 0.000 0.000 0.230
Zn1 0.500 0.500 0.000
Cd1 0.500 0.500 0.500


Entry 3:
# In3HgPb12 (PBE, relaxed)
# DFT formation energy   0.0096 eV/atom
data_In3HgPb12
_symmetry_space_group_name_H-M 'P 4/m m m'
_symmetry_Int_Tables_number 123
_symmetry_space_group_name_Hall '-P 4 2'
_cell_length_a 4.857
_cell_length_b 4.857
_cell_length_c 20.603
_cell_angle_alpha 90.00
_cell_angle_beta 90.00
_cell_angle_gamma 90.00
loop_
_atom_site_label
_atom_site_fract_x
_atom_site_fract_y
_atom_site_fract_z
In1 0.000 0.000 0.000
In2 0.000 0.000 0.253
Hg1 0.000 0.000 0.500
Pb1 0.000 0.500 0.127
Pb2 0.000 0.500 0.377
Pb3 0.500 0.500 0.000
Pb4 0.500 0.500 0.252
Pb5 0.500 0.500 0.500


> Number 3 is which compound?

In3HgPb12


> Which value of DFT formation energy does entry 3 give?

0.0096 eV/atom


> Which formula does entry 1 have?

InHgBi2Pd


> Look up the DFT formation energy of the first one.

0.7992 eV/atom